1.
## La2YGa2 (PBE)

Data for crystalline La2YGa2 at its relaxed geometry.

Geometry as CIF:
```
data_La2YGa2
_cell_length_a 8.9238
_cell_length_b 8.9238
_cell_length_c 3.4735
_cell_angle_alpha 90.00
_cell_angle_beta 90.00
_cell_angle_gamma 90.00
_symmetry_space_group_name_H-M 'P 4/m b m'
_symmetry_Int_Tables_number 127
_symmetry_space_group_name_Hall '-P 4 2ab'
loop_
_atom_site_label
_atom_site_fract_x
_atom_site_fract_y
_atom_site_fract_z
La1 0.1211 0.3789 0.0000
Y1 0.0000 0.0000 0.0000
Ga1 0.1744 0.6744 0.5000
```

Computed properties:
Energy relative to the lowest polymorph listed for this composition, meV per atom: 223.3
Energy of formation from the pure elements, kJ/mol of atoms: -26
Total energy, eV per atom: -4.74

=====

2.
## Er6ThTl (PBE)

Data for crystalline Er6ThTl at its relaxed geometry.

Geometry as CIF:
```
data_Er6ThTl
_cell_length_a 4.8927
_cell_length_b 4.8927
_cell_length_c 9.8863
_cell_angle_alpha 90.00
_cell_angle_beta 90.00
_cell_angle_gamma 90.00
_symmetry_space_group_name_H-M 'P 4/m m m'
_symmetry_Int_Tables_number 123
_symmetry_space_group_name_Hall '-P 4 2'
loop_
_atom_site_label
_atom_site_fract_x
_atom_site_fract_y
_atom_site_fract_z
Er1 0.0000 0.0000 0.0000
Er2 0.0000 0.0000 0.5000
Er3 0.0000 0.5000 0.2470
Th1 0.5000 0.5000 0.5000
Tl1 0.5000 0.5000 0.0000
```

Computed properties:
Energy of formation from the pure elements, kJ/mol of atoms: -5
Total energy, eV per atom: -4.69

=====

3.
## Ac2PI (PBE)

Data for crystalline Ac2PI at its relaxed geometry.

Geometry as CIF:
```
data_Ac2PI
_cell_length_a 7.8687
_cell_length_b 7.8687
_cell_length_c 7.8687
_cell_angle_alpha 90.00
_cell_angle_beta 90.00
_cell_angle_gamma 90.00
_symmetry_space_group_name_H-M 'F m -3 m'
_symmetry_Int_Tables_number 225
_symmetry_space_group_name_Hall '-F 4 2 3'
loop_
_atom_site_label
_atom_site_fract_x
_atom_site_fract_y
_atom_site_fract_z
Ac1 0.2500 0.2500 0.2500
P1 0.0000 0.0000 0.0000
I1 0.0000 0.0000 0.5000
```

Computed properties:
Energy relative to the lowest polymorph listed for this composition, meV per atom: 354.7
Formation energy without anion corrections, eV/atom: -0.9698
Total energy, eV per atom: -4.76

=====

4.
## Pm2PbAu2 (PBE)

Data for crystalline Pm2PbAu2 at its relaxed geometry.

Geometry as CIF:
```
data_Pm2PbAu2
_cell_length_a 8.2156
_cell_length_b 8.2156
_cell_length_c 3.8527
_cell_angle_alpha 90.00
_cell_angle_beta 90.00
_cell_angle_gamma 90.00
_symmetry_space_group_name_H-M 'P 4/m b m'
_symmetry_Int_Tables_number 127
_symmetry_space_group_name_Hall '-P 4 2ab'
loop_
_atom_site_label
_atom_site_fract_x
_atom_site_fract_y
_atom_site_fract_z
Pm1 0.1705 0.3295 0.0000
Pb1 0.0000 0.0000 0.5000
Au1 0.1248 0.6248 0.5000
```

Computed properties:
Energy of formation from the pure elements, kJ/mol of atoms: -74
Total energy, eV per atom: -4.72